# 1
This record from the Alexandria database describes an optimized crystal structure of K2CrP. The functional is PBE.

Lattice parameters (Å, degrees): 5.198 5.198 5.198 60.00 60.00 60.00
Fractional coordinates of all 4 atoms:
K1 0.000 0.000 0.000
K2 0.250 0.250 0.250
Cr1 0.500 0.500 0.500
P1 0.750 0.750 0.750

Summary:
DFT formation energy (eV/f.u.): 1.6
Calculated total energy (eV per atom): -3.92

# 2
This record from the Alexandria database describes an optimized crystal structure of CsBa2TlAu. The functional is PBE.

Lattice parameters (Å, degrees): 6.521 6.521 5.805 90.00 90.00 90.00
Fractional coordinates of all 5 atoms:
Cs1 0.000 0.000 0.000
Ba1 0.000 0.500 0.500
Ba2 0.500 0.000 0.500
Tl1 0.500 0.500 0.000
Au1 0.500 0.500 0.500

Summary:
DFT formation energy (eV/f.u.): -0.9
Calculated total energy (eV per atom): -2.24

# 3
This record from the Alexandria database describes an optimized crystal structure of FeNiSeN2. The functional is PBE.

Lattice parameters (Å, degrees): 3.491 3.491 5.453 90.00 90.00 90.00
Fractional coordinates of all 5 atoms:
Fe1 0.000 0.000 0.000
Ni1 0.500 0.500 0.500
Se1 0.000 0.000 0.500
N1 0.000 0.500 0.000
N2 0.500 0.000 0.000

Summary:
Raw formation energy (eV/f.u.): 3.96
Energy relative to the lowest polymorph listed for this composition (eV per atom): 0.000
Calculated total energy (eV per atom): -6.08

# 4
This record from the Alexandria database describes an optimized crystal structure of BeTeAs2. The functional is PBE.

Lattice parameters (Å, degrees): 3.215 3.215 8.790 90.00 90.00 114.34
Fractional coordinates of all 4 atoms:
Be1 0.000 0.000 0.000
Te1 0.500 0.500 0.205
As1 0.000 0.000 0.581
As2 0.500 0.500 0.812

Summary:
Raw formation energy (eV/f.u.): 1.83
Energy relative to the lowest polymorph listed for this composition (eV per atom): 0.403
Calculated total energy (eV per atom): -3.58

# 5
This record from the Alexandria database describes an optimized crystal structure of ZrB3S. The functional is PBE.

Lattice parameters (Å, degrees): 4.568 4.568 4.568 90.00 90.00 90.00
Fractional coordinates of all 5 atoms:
Zr1 0.000 0.000 0.000
B1 0.000 0.000 0.500
B2 0.000 0.500 0.000
B3 0.500 0.000 0.000
S1 0.500 0.500 0.500

Summary:
Raw formation energy (eV/f.u.): 10.87
Energy relative to the lowest polymorph listed for this composition (eV per atom): 1.045
Calculated total energy (eV per atom): -4.37

# 6
This record from the Alexandria database describes an optimized crystal structure of Fe2AgRu. The functional is PBE.

Lattice parameters (Å, degrees): 4.774 4.774 4.774 133.40 133.40 68.02
Fractional coordinates of all 4 atoms:
Fe1 0.000 0.000 0.000
Fe2 0.750 0.250 0.500
Ag1 0.500 0.500 0.000
Ru1 0.250 0.750 0.500

Summary:
DFT formation energy (eV/f.u.): 1.8
Energy relative to the lowest polymorph listed for this composition (eV per atom): 0.148
Calculated total energy (eV per atom): -6.81

# 7
This record from the Alexandria database describes an optimized crystal structure of BaEuMg2. The functional is PBE.

Lattice parameters (Å, degrees): 4.196 4.196 8.393 90.00 90.00 90.00
Fractional coordinates of all 4 atoms:
Ba1 0.000 0.000 0.000
Eu1 0.000 0.000 0.500
Mg1 0.500 0.500 0.280
Mg2 0.500 0.500 0.720

Summary:
DFT formation energy (eV/f.u.): -0.3
Energy relative to the lowest polymorph listed for this composition (eV per atom): 0.000
Calculated total energy (eV per atom): -3.91

# 8
This record from the Alexandria database describes an optimized crystal structure of Sr2Tl3Pb4. The functional is PBE.

Lattice parameters (Å, degrees): 6.377 6.377 10.639 107.55 107.55 45.05
Fractional coordinates of all 9 atoms:
Sr1 0.159 0.159 0.229
Sr2 0.841 0.841 0.771
Tl1 0.156 0.156 0.560
Tl2 0.500 0.500 0.000
Tl3 0.844 0.844 0.440
Pb1 0.173 0.173 0.889
Pb2 0.489 0.489 0.334
Pb3 0.511 0.511 0.666
Pb4 0.827 0.827 0.111

Summary:
DFT formation energy (eV/f.u.): -2.4
Calculated total energy (eV per atom): -3.07